Density functional theory data (PBE with a Hubbard U) for a geometry-optimized Cr8O21 structure.

Cell and atoms, written as POSCAR:
```
Cr8O21
1.0
5.4729 0.0000 0.0000
-2.2753 6.9159 0.0000
-1.6930 -3.0099 11.6353
Cr O
8 21
direct
0.0689 0.3485 0.2069
0.1216 0.0136 0.4023
0.1697 0.4504 0.5778
0.2231 0.0685 0.9450
0.7769 0.9315 0.0550
0.8303 0.5496 0.4222
0.8784 0.9864 0.5977
0.9311 0.6515 0.7931
0.0113 0.8571 0.7061
0.1086 0.1238 0.0914
0.1427 0.5155 0.7142
0.1522 0.6585 0.5156
0.1625 0.1765 0.5538
0.2490 0.9169 0.7947
0.2543 0.2763 0.9145
0.2950 0.5322 0.1847
0.3527 0.9449 0.3631
0.4707 0.4621 0.4383
0.5000 0.0000 0.0000
0.5293 0.5379 0.5617
0.6473 0.0551 0.6369
0.7050 0.4678 0.8153
0.7457 0.7237 0.0855
0.7510 0.0831 0.2053
0.8375 0.8235 0.4462
0.8478 0.3415 0.4844
0.8573 0.4845 0.2858
0.8914 0.8762 0.9086
0.9887 0.1429 0.2939
```

Raw total energy in eV per atom: -6.60
Total magnetization in μB/f.u.: 12.0